No. 1
Here is a geometry-optimized SmGd2Er structure from Alexandria via LeMat-Bulk. Energies are from PBE.

## Properties
ΔH_f (0 K): 0.026 eV per atom
Excess energy over the best structure of this formula in the dataset: 3.1 meV/atom

Cell and atoms, written as CIF:
```
data_SmGd2Er
_chemical_formula_sum 'Sm1 Gd2 Er1'
_cell_length_a 3.575
_cell_length_b 3.575
_cell_length_c 10.094
_cell_angle_alpha 90.00
_cell_angle_beta 90.00
_cell_angle_gamma 90.00
_space_group_name_H-M_alt 'P 4/m m m'
_space_group_IT_number 123
_space_group_name_Hall '-P 4 2'
loop_
_atom_site_label
_atom_site_fract_x
_atom_site_fract_y
_atom_site_fract_z
_atom_site_occupancy
Sm1 0.000 0.000 0.000 1
Gd1 0.500 0.500 0.254 1
Er1 0.000 0.000 0.500 1
```



No. 2
Here is a geometry-optimized SmGd2Er structure from Alexandria via LeMat-Bulk. Energies are from PBE.

## Properties
ΔH_f (0 K): 0.101 eV per atom
Excess energy over the best structure of this formula in the dataset: 77.4 meV/atom

Cell and atoms, written as CIF:
```
data_SmGd2Er
_chemical_formula_sum 'Sm4 Gd8 Er4'
_cell_length_a 8.047
_cell_length_b 8.047
_cell_length_c 8.047
_cell_angle_alpha 90.00
_cell_angle_beta 90.00
_cell_angle_gamma 90.00
_space_group_name_H-M_alt 'F m -3 m'
_space_group_IT_number 225
_space_group_name_Hall '-F 4 2 3'
loop_
_atom_site_label
_atom_site_fract_x
_atom_site_fract_y
_atom_site_fract_z
_atom_site_occupancy
Sm1 0.000 0.000 0.000 1
Gd1 0.250 0.250 0.250 1
Er1 0.000 0.000 0.500 1
```



No. 3
Here is a geometry-optimized SmGd2Er structure from Alexandria via LeMat-Bulk. Energies are from PBE.

## Properties
ΔH_f (0 K): 0.026 eV per atom
Excess energy over the best structure of this formula in the dataset: 2.3 meV/atom

Cell and atoms, written as CIF:
```
data_SmGd2Er
_chemical_formula_sum 'Sm3 Gd6 Er3'
_cell_length_a 3.5734
_cell_length_b 3.5734
_cell_length_c 34.9976
_cell_angle_alpha 90.00
_cell_angle_beta 90.00
_cell_angle_gamma 120.00
_space_group_name_H-M_alt 'R -3 m'
_space_group_IT_number 166
_space_group_name_Hall '-R 3 2"'
loop_
_atom_site_label
_atom_site_fract_x
_atom_site_fract_y
_atom_site_fract_z
_atom_site_occupancy
Sm1 0.0000 0.0000 0.0000 1
Gd1 0.0000 0.0000 0.2489 1
Er1 0.0000 0.0000 0.5000 1
```



No. 4
Here is a geometry-optimized SmGd4Er structure from Alexandria via LeMat-Bulk. Energies are from PBE.

## Properties
ΔH_f (0 K): 0.257 eV per atom

Cell and atoms, written as CIF:
```
data_SmGd4Er
_chemical_formula_sum 'Sm4 Gd16 Er4'
_cell_length_a 9.310
_cell_length_b 9.310
_cell_length_c 9.310
_cell_angle_alpha 90.00
_cell_angle_beta 90.00
_cell_angle_gamma 90.00
_space_group_name_H-M_alt 'F -4 3 m'
_space_group_IT_number 216
_space_group_name_Hall 'F -4 2 3'
loop_
_atom_site_label
_atom_site_fract_x
_atom_site_fract_y
_atom_site_fract_z
_atom_site_occupancy
Sm1 0.000 0.000 0.000 1
Gd1 0.125 0.125 0.375 1
Er1 0.250 0.250 0.750 1
```



No. 5
Here is a geometry-optimized SmGd2Er structure from Alexandria via LeMat-Bulk. Energies are from PBE.

## Properties
ΔH_f (0 K): 0.023 eV per atom
Excess energy over the best structure of this formula in the dataset: 0.0 meV/atom

Cell and atoms, written as CIF:
```
data_SmGd2Er
_chemical_formula_sum 'Sm1 Gd2 Er1'
_cell_length_a 5.045
_cell_length_b 5.045
_cell_length_c 5.061
_cell_angle_alpha 90.00
_cell_angle_beta 90.00
_cell_angle_gamma 90.00
_space_group_name_H-M_alt 'P 4/m m m'
_space_group_IT_number 123
_space_group_name_Hall '-P 4 2'
loop_
_atom_site_label
_atom_site_fract_x
_atom_site_fract_y
_atom_site_fract_z
_atom_site_occupancy
Sm1 0.000 0.000 0.000 1
Gd1 0.000 0.500 0.500 1
Er1 0.500 0.500 0.000 1
```



No. 6
Here is a geometry-optimized SmGdErSn structure from Alexandria via LeMat-Bulk. Energies are from PBE.

## Properties
ΔH_f (0 K): -0.266 eV per atom

Cell and atoms, written as CIF:
```
data_SmGdErSn
_chemical_formula_sum 'Sm4 Gd4 Er4 Sn4'
_cell_length_a 7.705
_cell_length_b 7.705
_cell_length_c 7.705
_cell_angle_alpha 90.00
_cell_angle_beta 90.00
_cell_angle_gamma 90.00
_space_group_name_H-M_alt 'F -4 3 m'
_space_group_IT_number 216
_space_group_name_Hall 'F -4 2 3'
loop_
_atom_site_label
_atom_site_fract_x
_atom_site_fract_y
_atom_site_fract_z
_atom_site_occupancy
Sm1 0.000 0.000 0.000 1
Gd1 0.000 0.000 0.500 1
Er1 0.250 0.250 0.750 1
Sn1 0.250 0.250 0.250 1
```



No. 7
Here is a geometry-optimized SmGdErTh structure from Alexandria via LeMat-Bulk. Energies are from PBE.

## Properties
ΔH_f (0 K): 0.180 eV per atom

Cell and atoms, written as CIF:
```
data_SmGdErTh
_chemical_formula_sum 'Sm4 Gd4 Er4 Th4'
_cell_length_a 8.052
_cell_length_b 8.052
_cell_length_c 8.052
_cell_angle_alpha 90.00
_cell_angle_beta 90.00
_cell_angle_gamma 90.00
_space_group_name_H-M_alt 'F -4 3 m'
_space_group_IT_number 216
_space_group_name_Hall 'F -4 2 3'
loop_
_atom_site_label
_atom_site_fract_x
_atom_site_fract_y
_atom_site_fract_z
_atom_site_occupancy
Sm1 0.000 0.000 0.000 1
Gd1 0.000 0.000 0.500 1
Er1 0.250 0.250 0.250 1
Th1 0.250 0.250 0.750 1
```



No. 8
Here is a geometry-optimized SmGdErTl structure from Alexandria via LeMat-Bulk. Energies are from PBE.

## Properties
ΔH_f (0 K): -0.072 eV per atom

Cell and atoms, written as CIF:
```
data_SmGdErTl
_chemical_formula_sum 'Sm4 Gd4 Er4 Tl4'
_cell_length_a 7.784
_cell_length_b 7.784
_cell_length_c 7.784
_cell_angle_alpha 90.00
_cell_angle_beta 90.00
_cell_angle_gamma 90.00
_space_group_name_H-M_alt 'F -4 3 m'
_space_group_IT_number 216
_space_group_name_Hall 'F -4 2 3'
loop_
_atom_site_label
_atom_site_fract_x
_atom_site_fract_y
_atom_site_fract_z
_atom_site_occupancy
Sm1 0.000 0.000 0.000 1
Gd1 0.000 0.000 0.500 1
Er1 0.250 0.250 0.250 1
Tl1 0.250 0.250 0.750 1
```



No. 9
Here is a geometry-optimized TbGdErSn structure from Alexandria via LeMat-Bulk. Energies are from PBE.

## Properties
ΔH_f (0 K): -0.260 eV per atom

Cell and atoms, written as CIF:
```
data_TbGdErSn
_chemical_formula_sum 'Tb4 Gd4 Er4 Sn4'
_cell_length_a 7.654
_cell_length_b 7.654
_cell_length_c 7.654
_cell_angle_alpha 90.00
_cell_angle_beta 90.00
_cell_angle_gamma 90.00
_space_group_name_H-M_alt 'F -4 3 m'
_space_group_IT_number 216
_space_group_name_Hall 'F -4 2 3'
loop_
_atom_site_label
_atom_site_fract_x
_atom_site_fract_y
_atom_site_fract_z
_atom_site_occupancy
Tb1 0.000 0.000 0.000 1
Gd1 0.000 0.000 0.500 1
Er1 0.250 0.250 0.250 1
Sn1 0.250 0.250 0.750 1
```



No. 10
Here is a geometry-optimized GdErTlSn structure from Alexandria via LeMat-Bulk. Energies are from PBE.

## Properties
ΔH_f (0 K): -0.462 eV per atom

Cell and atoms, written as CIF:
```
data_GdErTlSn
_chemical_formula_sum 'Gd4 Er4 Tl4 Sn4'
_cell_length_a 7.581
_cell_length_b 7.581
_cell_length_c 7.581
_cell_angle_alpha 90.00
_cell_angle_beta 90.00
_cell_angle_gamma 90.00
_space_group_name_H-M_alt 'F -4 3 m'
_space_group_IT_number 216
_space_group_name_Hall 'F -4 2 3'
loop_
_atom_site_label
_atom_site_fract_x
_atom_site_fract_y
_atom_site_fract_z
_atom_site_occupancy
Gd1 0.000 0.000 0.000 1
Er1 0.000 0.000 0.500 1
Tl1 0.250 0.250 0.250 1
Sn1 0.250 0.250 0.750 1
```



No. 11
Here is a geometry-optimized SrGd2Er structure from Alexandria via LeMat-Bulk. Energies are from PBE.

## Properties
ΔH_f (0 K): 0.204 eV per atom
Excess energy over the best structure of this formula in the dataset: 98.2 meV/atom

Cell and atoms, written as CIF:
```
data_SrGd2Er
_chemical_formula_sum 'Sr3 Gd6 Er3'
_cell_length_a 3.6146
_cell_length_b 3.6146
_cell_length_c 38.2765
_cell_angle_alpha 90.00
_cell_angle_beta 90.00
_cell_angle_gamma 120.00
_space_group_name_H-M_alt 'R -3 m'
_space_group_IT_number 166
_space_group_name_Hall '-R 3 2"'
loop_
_atom_site_label
_atom_site_fract_x
_atom_site_fract_y
_atom_site_fract_z
_atom_site_occupancy
Sr1 0.0000 0.0000 0.0000 1
Gd1 0.0000 0.0000 0.0931 1
Er1 0.0000 0.0000 0.5000 1
```



No. 12
Here is a geometry-optimized SrGdEr2 structure from Alexandria via LeMat-Bulk. Energies are from PBE.

## Properties
ΔH_f (0 K): 0.249 eV per atom
Excess energy over the best structure of this formula in the dataset: 108.6 meV/atom

Cell and atoms, written as CIF:
```
data_SrGdEr2
_chemical_formula_sum 'Sr4 Gd4 Er8'
_cell_length_a 8.244
_cell_length_b 8.244
_cell_length_c 8.244
_cell_angle_alpha 90.00
_cell_angle_beta 90.00
_cell_angle_gamma 90.00
_space_group_name_H-M_alt 'F m -3 m'
_space_group_IT_number 225
_space_group_name_Hall '-F 4 2 3'
loop_
_atom_site_label
_atom_site_fract_x
_atom_site_fract_y
_atom_site_fract_z
_atom_site_occupancy
Sr1 0.000 0.000 0.000 1
Gd1 0.000 0.000 0.500 1
Er1 0.250 0.250 0.250 1
```



No. 13
Here is a geometry-optimized SrGdEr structure from Alexandria via LeMat-Bulk. Energies are from PBE.

## Properties
ΔH_f (0 K): 0.157 eV per atom
Excess energy over the best structure of this formula in the dataset: 27.0 meV/atom

Cell and atoms, written as CIF:
```
data_SrGdEr
_chemical_formula_sum 'Sr1 Gd1 Er1'
_cell_length_a 3.7245
_cell_length_b 3.7245
_cell_length_c 9.2705
_cell_angle_alpha 90.00
_cell_angle_beta 90.00
_cell_angle_gamma 120.00
_space_group_name_H-M_alt 'P 3 m 1'
_space_group_IT_number 156
_space_group_name_Hall 'P 3 -2"'
loop_
_atom_site_label
_atom_site_fract_x
_atom_site_fract_y
_atom_site_fract_z
_atom_site_occupancy
Sr1 0.0000 0.0000 0.0000 1
Gd1 0.6667 0.3333 0.3605 1
Er1 0.3333 0.6667 0.6516 1
```



No. 14
Here is a geometry-optimized SrGdEr structure from Alexandria via LeMat-Bulk. Energies are from PBE.

## Properties
ΔH_f (0 K): 0.130 eV per atom
Excess energy over the best structure of this formula in the dataset: 0.0 meV/atom

Cell and atoms, written as CIF:
```
data_SrGdEr
_chemical_formula_sum 'Sr2 Gd2 Er2'
_cell_length_a 3.754
_cell_length_b 3.754
_cell_length_c 15.898
_cell_angle_alpha 90.00
_cell_angle_beta 90.00
_cell_angle_gamma 90.00
_space_group_name_H-M_alt 'I 4 m m'
_space_group_IT_number 107
_space_group_name_Hall 'I 4 -2'
loop_
_atom_site_label
_atom_site_fract_x
_atom_site_fract_y
_atom_site_fract_z
_atom_site_occupancy
Sr1 0.000 0.000 0.000 1
Gd1 0.000 0.000 0.685 1
Er1 0.000 0.000 0.322 1
```



No. 15
Here is a geometry-optimized SrGdEr2 structure from Alexandria via LeMat-Bulk. Energies are from PBE.

## Properties
ΔH_f (0 K): 0.141 eV per atom
Excess energy over the best structure of this formula in the dataset: 0.0 meV/atom

Cell and atoms, written as CIF:
```
data_SrGdEr2
_chemical_formula_sum 'Sr1 Gd1 Er2'
_cell_length_a 3.672
_cell_length_b 3.672
_cell_length_c 10.487
_cell_angle_alpha 90.00
_cell_angle_beta 90.00
_cell_angle_gamma 90.00
_space_group_name_H-M_alt 'P 4/m m m'
_space_group_IT_number 123
_space_group_name_Hall '-P 4 2'
loop_
_atom_site_label
_atom_site_fract_x
_atom_site_fract_y
_atom_site_fract_z
_atom_site_occupancy
Sr1 0.000 0.000 0.000 1
Gd1 0.000 0.000 0.500 1
Er1 0.500 0.500 0.279 1
```